Material: LaHo5Er5
Method: DFT, PBE
State: relaxed

Spin magnetization (μB/f.u.): 0.000
Energy relative to the elements (eV/atom): 0.3190
Density (g cm⁻³): 8.2
SG: P-6m2 (187)

Unit cell a=6.0616 b=6.0616 c=11.4783 alpha=90.00 beta=90.00 gamma=120.00
With the nearest neighbours (Å) after each atom.
Atoms (fractional coordinates):
Er (0.3333, 0.6667, 0.6688)  9 Ho 3.58-3.60, 1 La 3.80, 4 Er 3.88-4.01
Er (0.6667, 0.3333, 0.8398)  7 Er 3.68-4.01, 3 Ho 3.70, 3 La 3.95
Er (0.6667, 0.3333, 0.1602)  7 Er 3.68-4.01, 3 Ho 3.70, 3 La 3.95
Er (0.0000, 0.0000, 0.0000)  2 Ho 3.03
Er (0.3333, 0.6667, 0.3312)  9 Ho 3.58-3.60, 1 La 3.80, 4 Er 3.88-4.01
Ho (0.8325, 0.1675, 0.5000)  6 Ho 3.02-3.23
Ho (0.3351, 0.1675, 0.5000)  6 Ho 3.02-3.23
Ho (0.8325, 0.6649, 0.5000)  6 Ho 3.02-3.23
Ho (0.0000, 0.0000, 0.7362)  1 Er 3.03, 3 Ho 3.23
Ho (0.0000, 0.0000, 0.2638)  1 Er 3.03, 3 Ho 3.23
La (0.3333, 0.6667, 0.0000)  5 Er 3.50-3.80